Tl2ZnB (PBE-GGA, optimized geometry); raw total energy = -8.7 eV/cell; crystal system = cubic; energy relative to the lowest polymorph listed for this composition = 165 meV per atom; energy relative to the elements = 1.00 eV/atom; M_tot = 0.0 μB/f.u.
1.0
0.0000 3.4860 3.4860
3.4860 0.0000 3.4860
3.4860 3.4860 0.0000
Tl Zn B
2 1 1
Direct
0.2500 0.2500 0.2500
0.7500 0.7500 0.7500
0.0000 0.0000 0.0000
0.5000 0.5000 0.5000